Here is a relaxed structure of SiMoAu3 from Alexandria via LeMat-Bulk. Energies are from GGA-PBE.

abc: 5.029 5.029 5.029
angles: 90.00 90.00 90.00
Atoms (fractional coordinates):
Au  0.500  0.000  0.000
Au  0.000  0.000  0.500
Au  0.000  0.500  0.000
Si  0.500  0.500  0.500
Mo  0.000  0.000  0.000

Summary:
Excess energy over the best structure of this formula in the dataset = 647 meV/atom
DOS(E_F) = 1.32 states/eV/atom
Symmetry = Pm-3m, No. 221

=====

Here is a relaxed structure of SiMo3Au from Alexandria via LeMat-Bulk. Energies are from GGA-PBE.

abc: 4.484 4.484 4.484
angles: 90.00 90.00 90.00
Atoms (fractional coordinates):
Mo  0.000  0.000  0.500
Mo  0.500  0.000  0.000
Mo  0.000  0.500  0.000
Si  0.000  0.000  0.000
Au  0.500  0.500  0.500

Summary:
Excess energy over the best structure of this formula in the dataset = 0 meV/atom
DOS(E_F) = 1.50 states/eV/atom
Symmetry = Pm-3m, No. 221

=====

Here is a relaxed structure of Si2MoAu2 from Alexandria via LeMat-Bulk. Energies are from GGA-PBE.

abc: 6.636 6.636 3.652
angles: 90.00 90.00 90.00
Atoms (fractional coordinates):
Au  0.838  0.338  0.500
Au  0.338  0.162  0.500
Au  0.162  0.662  0.500
Au  0.662  0.838  0.500
Si  0.358  0.858  0.000
Si  0.642  0.142  0.000
Si  0.858  0.642  0.000
Si  0.142  0.358  0.000
Mo  0.000  0.000  0.000
Mo  0.500  0.500  0.000

Summary:
Excess energy over the best structure of this formula in the dataset = 0 meV/atom
DOS(E_F) = 0.62 states/eV/atom
Symmetry = P4/mbm, No. 127

=====

Here is a relaxed structure of Si4MoAu from Alexandria via LeMat-Bulk. Energies are from GGA-PBE.

abc: 4.981 4.981 4.981
angles: 60.00 60.00 60.00
Atoms (fractional coordinates):
Mo  0.000  0.000  0.000
Si  0.878  0.374  0.374
Si  0.374  0.374  0.878
Si  0.374  0.374  0.374
Si  0.374  0.878  0.374
Au  0.750  0.750  0.750

Summary:
DOS(E_F) = 0.64 states/eV/atom
Symmetry = F-43m, No. 216

=====

Here is a relaxed structure of Si3MoAu from Alexandria via LeMat-Bulk. Energies are from GGA-PBE.

abc: 4.728 4.728 4.728
angles: 90.00 90.00 90.00
Atoms (fractional coordinates):
Si  0.000  0.500  0.000
Si  0.500  0.000  0.000
Si  0.000  0.000  0.500
Mo  0.000  0.000  0.000
Au  0.500  0.500  0.500

Summary:
Excess energy over the best structure of this formula in the dataset = 0 meV/atom
DOS(E_F) = 0.97 states/eV/atom
Symmetry = Pm-3m, No. 221

=====

Here is a relaxed structure of Si3MoAu from Alexandria via LeMat-Bulk. Energies are from GGA-PBE.

abc: 4.796 4.796 4.796
angles: 90.00 90.00 90.00
Last column: magnetic moment on the atom in μB.
Atoms (fractional coordinates):
Mo  0.500  0.500  0.500  3.07
Si  0.500  0.000  0.000  -0.01
Si  0.000  0.000  0.500  -0.03
Si  0.000  0.500  0.000  -0.03
Au  0.000  0.000  0.000  -0.01

Summary:
Excess energy over the best structure of this formula in the dataset = 850 meV/atom
DOS(E_F) = 0.60 states/eV/atom
Symmetry = Pm-3m, No. 221

=====

So what do the calculations give for energy relative to the elements, uncorrected? Going down the list: 1424.2, 986.2, 172.3, 436.2, 623.6, 1473.9 meV per atom.